(1)
La6FeCo2Cl3 | PBE-GGA | relaxed

Computed properties:
- total magnetization (μB/cell) = 0.000
- energy (eV/atom) = -5.683

Cell lengths 6.9509, 6.9509, 7.9962 Å; angles 98.32, 98.32, 120.01 degrees
Closest atoms and distances in Å follow each position.
Fractional positions:
La1 0.2620 0.2620 0.7994  1 Fe 2.75, 2 Co 2.79
La2 0.3960 0.0669 0.2007  1 Fe 2.76, 2 Co 2.79
La3 0.0669 0.3960 0.2007  1 Fe 2.76, 2 Co 2.79
La4 0.9331 0.6040 0.7993  1 Fe 2.76, 2 Co 2.79
La5 0.6040 0.9331 0.7993  1 Fe 2.76, 2 Co 2.79
La6 0.7380 0.7380 0.2006  1 Fe 2.75, 2 Co 2.79
Co1 0.3332 0.6668 0.0000  6 La 2.79
Co2 0.6668 0.3332 0.0000  6 La 2.79
Fe1 0.0000 0.0000 0.0000  6 La 2.75-2.76
Cl1 0.1652 0.8348 0.5000  6 La 3.24-3.29
Cl2 0.5000 0.5000 0.5000  6 La 3.25-3.28
Cl3 0.8348 0.1652 0.5000  6 La 3.24-3.29

(2)
Rb2AlB2 | PBE-GGA | relaxed

Computed properties:
- DFT formation energy (kcal/mol of atoms) = 22.7
- distance to the lowest polymorph of the same formula (eV/atom) = 0.2285
- total magnetization (μB/cell) = 1.729
- energy (eV/atom) = -2.821

Cell lengths 6.2697, 6.2697, 5.5819 Å; angles 90.00, 90.00, 90.00 degrees
Closest atoms and distances in Å follow each position.
Fractional positions:
Rb1 0.6929 0.8071 0.5000  5 Rb 3.22-3.42, 6 B 3.37-3.38, 4 Al 3.60
Rb2 0.1929 0.6929 0.5000  5 Rb 3.22-3.42, 6 B 3.37-3.38, 4 Al 3.60
Rb3 0.8071 0.3071 0.5000  5 Rb 3.22-3.42, 6 B 3.37-3.38, 4 Al 3.60
Rb4 0.3071 0.1929 0.5000  5 Rb 3.22-3.42, 6 B 3.37-3.38, 4 Al 3.60
B1 0.5914 0.0914 0.0000  1 B 1.62
B2 0.4086 0.9086 0.0000  1 B 1.62
B3 0.0914 0.4086 0.0000  1 B 1.62
B4 0.9086 0.5914 0.0000  1 B 1.62
Al1 0.0000 0.0000 0.0000  4 B 2.62
Al2 0.5000 0.5000 0.0000  4 B 2.62

(3)
BaGa2Sn | PBE-GGA | relaxed

Computed properties:
- DFT formation energy (kcal/mol of atoms) = -8.6
- total magnetization (μB/cell) = 0.000
- energy (eV/atom) = -3.367

Cell lengths 4.7091, 4.7091, 6.6400 Å; angles 69.23, 69.23, 60.00 degrees
Closest atoms and distances in Å follow each position.
Fractional positions:
Ba1 0.5000 0.5000 0.5000  6 Ga 3.38
Ga1 0.2773 0.2773 0.1681  3 Sn 2.90
Ga2 0.7227 0.7227 0.8319  3 Sn 2.90
Sn1 0.0000 0.0000 0.0000  6 Ga 2.90